No. 1
DFT (PBE) results for HfMg14Mn after structural relaxation.

The symmetry is No. 187. For the calculated formation energy, the calculation gives 90 meV per atom. The value obtained for the distance to the lowest polymorph of the same formula is 0.009 eV per atom. The density comes out at 2.70 g/cm3. The calculation puts the density of states at the Fermi level at 8.94 states/eV per cell. As for the total energy: -2.5003 eV per atom.

abc: 6.359 6.359 10.061
angles: 90.00 90.00 120.00
Positions (direct):
Hf: 0.000 0.000 0.000
Mg: 0.008 0.504 0.000
Mg: 0.161 0.323 0.254
Mg: 0.161 0.323 0.746
Mg: 0.161 0.839 0.254
Mg: 0.161 0.839 0.746
Mg: 0.496 0.504 0.000
Mg: 0.496 0.992 0.000
Mg: 0.501 0.002 0.500
Mg: 0.501 0.499 0.500
Mg: 0.667 0.333 0.243
Mg: 0.667 0.333 0.757
Mg: 0.677 0.839 0.254
Mg: 0.677 0.839 0.746
Mg: 0.998 0.499 0.500
Mn: 0.000 0.000 0.500

=====

No. 2
DFT (PBE) results for Cs2In2Te3 after structural relaxation.

The symmetry is No. 12. The density comes out at 4.39 g/cm3. The calculation puts the density of states at the Fermi level at 2.47 states/eV per cell. As for the total energy: -3.0395 eV per atom.

abc: 16.498 4.826 10.003
angles: 90.00 123.51 90.00
Positions (direct):
Cs: 0.048 0.000 0.258
Cs: 0.452 0.500 0.742
Cs: 0.548 0.500 0.258
Cs: 0.952 0.000 0.742
In: 0.192 0.500 0.806
In: 0.308 0.000 0.194
In: 0.692 0.000 0.806
In: 0.808 0.500 0.194
Te: 0.000 0.500 0.500
Te: 0.170 0.500 0.092
Te: 0.330 0.000 0.908
Te: 0.500 0.000 0.500
Te: 0.670 0.000 0.092
Te: 0.830 0.500 0.908

=====

No. 3
DFT (PBE) results for Ac2PmEr after structural relaxation.

The symmetry is No. 12. For the calculated formation energy, the calculation gives 41 meV per atom. The value obtained for the distance to the lowest polymorph of the same formula is 0.000 eV per atom. The density comes out at 8.39 g/cm3. The calculation puts the density of states at the Fermi level at 8.44 states/eV per cell. As for the total energy: -4.3415 eV per atom.

abc: 12.209 3.821 6.608
angles: 90.00 100.30 90.00
Positions (direct):
Ac: 0.248 0.000 0.247
Ac: 0.252 0.500 0.753
Ac: 0.748 0.500 0.247
Ac: 0.752 0.000 0.753
Pm: 0.000 0.000 0.500
Pm: 0.500 0.500 0.500
Er: 0.000 0.500 0.000
Er: 0.500 0.000 0.000